(1)
Entry from Alexandria via LeMat-Bulk: SrNd2Ga after structural relaxation (PBE-GGA).

Its symmetry is P4/mmm, No. 123. Its offset from the most stable computed form is 0.0 meV per atom. The value obtained for the electronic total energy is -0.1376 Ha/atom. For the total magnetization, the calculation gives 0.00 μB/atom. Its density of states at the Fermi level is 5.8 states/eV/cell. Its calculated formation energy is -0.184 eV/atom.

a = 3.7737 Å, b = 3.7737 Å, c = 9.7191 Å
α = 90.00°, β = 90.00°, γ = 90.00°
Element x y z (fractional)
1 Sr 0.5000 0.5000 0.5000
2 Nd 0.0000 0.0000 0.8225
3 Nd 0.0000 0.0000 0.1775
4 Ga 0.5000 0.5000 0.0000

---

(2)
Entry from Alexandria via LeMat-Bulk: Ca2InRu after structural relaxation (PBE-GGA).

Its symmetry is R3m, No. 160. The value obtained for the electronic total energy is -0.1403 Ha/atom. For the total magnetization, the calculation gives 0.00 μB/atom. Its density of states at the Fermi level is 2.7 states/eV/cell. Its calculated formation energy is 0.187 eV/atom.

a = 9.7848 Å, b = 9.7848 Å, c = 9.7848 Å
α = 21.53°, β = 21.53°, γ = 21.53°
Element x y z (fractional)
1 Ru 0.7573 0.7573 0.7573
2 Ca 0.0227 0.0227 0.0227
3 Ca 0.2378 0.2378 0.2378
4 In 0.4822 0.4822 0.4822

---

(3)
Entry from Alexandria via LeMat-Bulk: Ta2BePd2 after structural relaxation (PBE-GGA).

Its symmetry is I4/mmm, No. 139. Its offset from the most stable computed form is 216.9 meV per atom. The value obtained for the electronic total energy is -0.2588 Ha/atom. For the total magnetization, the calculation gives 0.00 μB/atom. Its density of states at the Fermi level is 6.3 states/eV/cell. Its calculated formation energy is 0.520 eV/atom.

a = 3.5614 Å, b = 3.5614 Å, c = 7.2803 Å
α = 75.84°, β = 75.84°, γ = 90.00°
Element x y z (fractional)
1 Be 0.0000 0.0000 0.0000
2 Pd 0.7500 0.2500 0.5000
3 Pd 0.2500 0.7500 0.5000
4 Ta 0.4045 0.4045 0.1909
5 Ta 0.5955 0.5955 0.8091

---

(4)
Entry from Alexandria via LeMat-Bulk: MnZn2Cr after structural relaxation (PBE-GGA).

Its symmetry is P4/mmm, No. 123. Its offset from the most stable computed form is 135.2 meV per atom. The value obtained for the electronic total energy is -0.1888 Ha/atom. For the total magnetization, the calculation gives 1.61 μB/atom. Its density of states at the Fermi level is 3.3 states/eV/cell. Its calculated formation energy is 0.198 eV/atom.

a = 3.0518 Å, b = 3.0518 Å, c = 6.0728 Å
α = 90.00°, β = 90.00°, γ = 90.00°
Site moments in Bohr magnetons follow the coordinates.
Element x y z (fractional)
1 Cr 0.5000 0.5000 0.2500  3.05
2 Mn 0.5000 0.5000 0.7500  3.22
3 Zn 0.0000 0.0000 0.9977  -0.06
4 Zn 0.0000 0.0000 0.5023  -0.06